VASP calculation (PBE-GGA) on crystalline ZrTeSCl2 at its relaxed geometry.

Results
For the formation energy from raw total energies, the calculation gives 474.0 meV/atom. The offset from the most stable computed form is 1.1398 eV/atom. Its crystal system is tetragonal. As for the space group: No. 123. As for the total magnetization: 0.49 μB per atom.

a b c (Å): 5.3162 5.3162 5.2727
angles (deg): 90.00 90.00 90.00
Closest atoms and distances in Å follow each position.
Positions (direct):
1 S 0.0000 0.0000 0.5000  2 Te 2.64
2 Te 0.0000 0.0000 0.0000  2 S 2.64, 4 Cl 2.66
3 Zr 0.5000 0.5000 0.5000  8 Cl 3.74, 4 S 3.76
4 Cl 0.0000 0.5000 0.0000  2 Te 2.66
5 Cl 0.5000 0.0000 0.0000  2 Te 2.66

***

VASP calculation (PBE-GGA) on crystalline ThSCl3 at its relaxed geometry.

Results
For the formation energy from raw total energies, the calculation gives -1629.8 meV/atom. Its crystal system is orthorhombic. As for the space group: No. 46. As for the total magnetization: 0.21 μB per atom.

a b c (Å): 7.3008 7.3008 7.3008
angles (deg): 107.30 117.46 103.98
Closest atoms and distances in Å follow each position.
Positions (direct):
1 Th 0.3964 0.0354 0.8610  2 S 2.76-2.85, 6 Cl 2.80-2.93
2 Th 0.1744 0.5354 0.1390  2 S 2.76-2.85, 6 Cl 2.80-2.93
3 S 0.4991 0.8414 0.1577  2 Th 2.76-2.85, 1 Cl 2.79
4 S 0.6837 0.3414 0.8423  2 Th 2.76-2.85, 1 Cl 2.79
5 Cl 0.0816 0.2166 0.7363  2 Th 2.80-2.85
6 Cl 0.0816 0.8453 0.3650  2 Th 2.80-2.85
7 Cl 0.4803 0.7166 0.6350  2 Th 2.80-2.85
8 Cl 0.9002 0.2196 0.1807  1 S 2.79, 2 Th 2.86-2.93
9 Cl 0.4803 0.3453 0.2637  2 Th 2.80-2.85
10 Cl 0.0389 0.7196 0.8193  1 S 2.79, 2 Th 2.86-2.93

***

VASP calculation (PBE-GGA) on crystalline ThS2Cl5 at its relaxed geometry.

Results
For the formation energy from raw total energies, the calculation gives -1256.6 meV/atom. Its crystal system is triclinic. As for the space group: No. 1. As for the total magnetization: 0.12 μB per atom.

a b c (Å): 5.5760 8.2819 9.8361
angles (deg): 58.72 66.81 70.84
Closest atoms and distances in Å follow each position.
Positions (direct):
1 Th 0.9669 0.9776 0.9548  5 Cl 2.58-2.79
2 S 0.6701 0.5884 0.4623  1 S 1.88
3 S 0.3706 0.5646 0.6440  1 S 1.88
4 Cl 0.7395 0.9007 0.3043  1 S 2.29
5 Cl 0.0635 0.6064 0.0851  1 Th 2.60
6 Cl 0.8280 0.3211 0.9330  1 Th 2.61
7 Cl 0.1278 0.0695 0.6424  1 Th 2.58
8 Cl 0.4566 0.9717 0.9741  2 Th 2.79

***

VASP calculation (PBE-GGA) on crystalline ThS2Cl at its relaxed geometry.

Results
For the formation energy from raw total energies, the calculation gives -1543.1 meV/atom. Its crystal system is orthorhombic. As for the space group: No. 63. As for the total magnetization: 0.00 μB per atom.

a b c (Å): 4.2559 5.4470 8.4837
angles (deg): 90.00 90.00 113.00
Closest atoms and distances in Å follow each position.
Positions (direct):
1 Th 0.2179 0.4357 0.2500  6 S 2.91, 3 Cl 2.94-2.99
2 Th 0.7821 0.5643 0.7500  6 S 2.91, 3 Cl 2.94-2.99
3 S 0.3717 0.7434 0.5413  1 S 2.67, 3 Th 2.91
4 S 0.6283 0.2566 0.4587  1 S 2.67, 3 Th 2.91
5 S 0.6283 0.2566 0.0413  1 S 2.67, 3 Th 2.91
6 S 0.3717 0.7434 0.9587  1 S 2.67, 3 Th 2.91
7 Cl 0.9196 0.8393 0.2500  3 Th 2.94-2.99
8 Cl 0.0804 0.1607 0.7500  3 Th 2.94-2.99

***

VASP calculation (PBE-GGA) on crystalline ThS6Cl12 at its relaxed geometry.

Results
For the formation energy from raw total energies, the calculation gives -622.3 meV/atom. Its crystal system is triclinic. As for the space group: No. 2. As for the total magnetization: 0.00 μB per atom.

a b c (Å): 10.0164 11.2843 10.8260
angles (deg): 61.94 58.51 47.59
Closest atoms and distances in Å follow each position.
Positions (direct):
1 Th 0.0000 0.0000 0.0000  6 Cl 2.68-2.75
2 S 0.3473 0.2073 0.3633  1 Cl 2.02, 1 S 2.14
3 S 0.7801 0.5712 0.8946  1 Cl 2.03, 1 S 2.07
4 S 0.5802 0.8206 0.8501  1 Cl 2.06, 2 S 2.07-2.14
5 S 0.6527 0.7927 0.6367  1 Cl 2.02, 1 S 2.14
6 S 0.2199 0.4288 0.1054  1 Cl 2.03, 1 S 2.07
7 S 0.4198 0.1794 0.1499  1 Cl 2.06, 2 S 2.07-2.14
8 Cl 0.6953 0.9354 0.8144  1 S 2.06
9 Cl 0.8768 0.8105 0.5109  1 S 2.02
10 Cl 0.7625 0.5305 0.1042  1 S 2.03
11 Cl 0.3047 0.0646 0.1856  1 S 2.06
12 Cl 0.1232 0.1895 0.4891  1 S 2.02
13 Cl 0.2375 0.4695 0.8958  1 S 2.03
14 Cl 0.3342 0.7753 0.8291  1 Th 2.75, 2 S 2.84-2.96
15 Cl 0.1787 0.8720 0.1926  1 Th 2.69
16 Cl 0.1154 0.1999 0.8559  1 Th 2.68
17 Cl 0.6658 0.2247 0.1709  1 Th 2.75, 2 S 2.84-2.96
18 Cl 0.8213 0.1280 0.8074  1 Th 2.69
19 Cl 0.8846 0.8001 0.1441  1 Th 2.68

***

VASP calculation (PBE-GGA) on crystalline Th2S2Cl at its relaxed geometry.

Results
For the formation energy from raw total energies, the calculation gives -1721.4 meV/atom. Its crystal system is orthorhombic. As for the space group: No. 71. As for the total magnetization: 0.00 μB per atom.

a b c (Å): 4.0205 5.5752 6.9801
angles (deg): 113.54 106.74 90.00
Closest atoms and distances in Å follow each position.
Positions (direct):
1 Th 0.3262 0.8262 0.6524  4 S 2.79-2.83, 2 Cl 2.92
2 Th 0.6738 0.1738 0.3476  4 S 2.79-2.83, 2 Cl 2.92
3 S 0.6623 0.6623 0.3245  4 Th 2.79-2.83
4 S 0.3377 0.3377 0.6755  4 Th 2.79-2.83
5 Cl 0.0000 0.0000 0.0000  4 Th 2.92